# 1
Density functional theory data (PBE) for a relaxed Sr2GaPbN crystal.

POSCAR file:
```
Sr2GaPbN
1.0
5.612 0.000 0.000
0.000 5.612 0.000
0.000 0.000 4.040
Sr Ga Pb N
2 1 1 1
Direct
0.000 0.500 0.000 Sr
0.500 0.000 0.000 Sr
0.000 0.000 0.500 Ga
0.500 0.500 0.500 Pb
0.000 0.000 0.000 N
```

Values from the calculation:
SG = P4/mmm
E = -4.10 eV/atom
uncorrected formation energy = -202.5 kJ/mol of formula units
ρ = 6084 kg/m³

***

# 2
Density functional theory data (PBE) for a relaxed HgPtCl2 crystal.

POSCAR file:
```
HgPtCl2
1.0
-1.876 1.876 6.219
1.876 -1.876 6.219
1.876 1.876 -6.219
Hg Pt Cl
1 1 2
Direct
0.000 0.000 0.000 Hg
0.250 0.750 0.500 Pt
0.500 0.500 0.000 Cl
0.750 0.250 0.500 Cl
```

Values from the calculation:
SG = I-4m2
E = -2.23 eV/atom
energy above the most stable polymorph in this dataset = 0.503 eV/atom
uncorrected formation energy = 108.0 kJ/mol of formula units
ρ = 8847 kg/m³

***

# 3
Density functional theory data (PBE) for a relaxed Sc3Br2 crystal.

POSCAR file:
```
Sc3Br2
1.0
1.733 1.001 11.056
-1.733 1.001 11.056
0.000 -2.002 11.056
Sc Br
3 2
Direct
0.000 0.000 0.000 Sc
0.202 0.202 0.202 Sc
0.798 0.798 0.798 Sc
0.398 0.398 0.398 Br
0.602 0.602 0.602 Br
```

Values from the calculation:
SG = R-3m
E = -5.16 eV/atom
energy above the most stable polymorph in this dataset = 0.000 eV/atom
uncorrected formation energy = -333.3 kJ/mol of formula units
ρ = 4252 kg/m³

***

# 4
Density functional theory data (PBE) for a relaxed CuAgHg3 crystal.

POSCAR file:
```
CuAgHg3
1.0
5.067 0.000 0.000
0.000 5.067 0.000
0.000 0.000 5.067
Cu Ag Hg
1 1 3
Direct
0.000 0.000 0.000 Cu
0.500 0.500 0.500 Ag
0.000 0.000 0.500 Hg
0.000 0.500 0.000 Hg
0.500 0.000 0.000 Hg
```

Values from the calculation:
SG = Pm-3m
E = -1.23 eV/atom
formation energy from the elements = 1.68 eV/f.u.
energy above the most stable polymorph in this dataset = 0.000 eV/atom
ρ = 9868 kg/m³

***

# 5
Density functional theory data (PBE) for a relaxed Np2Br2Cl3 crystal.

POSCAR file:
```
Np2Br2Cl3
1.0
6.178 -2.029 0.000
6.178 2.029 0.000
-3.029 0.000 7.460
Np Br Cl
2 2 3
Direct
0.169 0.169 0.214 Np
0.831 0.831 0.786 Np
0.158 0.158 0.814 Br
0.842 0.842 0.186 Br
0.367 0.367 0.563 Cl
0.500 0.500 0.000 Cl
0.633 0.633 0.437 Cl
```

Values from the calculation:
SG = C2/m
E = -6.40 eV/atom
uncorrected formation energy = -969.8 kJ/mol of formula units
ρ = 6571 kg/m³

***

# 6
Density functional theory data (PBE) for a relaxed HgBiAu2 crystal.

POSCAR file:
```
HgBiAu2
1.0
4.701 0.000 0.000
0.000 4.701 0.000
0.000 0.000 4.073
Hg Bi Au
1 1 2
Direct
0.000 0.000 0.000 Hg
0.500 0.500 0.000 Bi
0.000 0.500 0.500 Au
0.500 0.000 0.500 Au
```

Values from the calculation:
SG = P4/mmm
E = -2.59 eV/atom
formation energy from the elements = 0.36 eV/f.u.
ρ = 14827 kg/m³

***

# 7
Density functional theory data (PBE) for a relaxed Tc2PdI crystal.

POSCAR file:
```
Tc2PdI
1.0
0.000 3.197 3.197
3.197 0.000 3.197
3.197 3.197 0.000
Tc Pd I
2 1 1
Direct
0.250 0.250 0.250 Tc
0.750 0.750 0.750 Tc
0.000 0.000 0.000 Pd
0.500 0.500 0.500 I
```

Values from the calculation:
SG = Fm-3m
E = -6.12 eV/atom
energy above the most stable polymorph in this dataset = 0.000 eV/atom
uncorrected formation energy = 288.6 kJ/mol of formula units
ρ = 10906 kg/m³

***

# 8
Density functional theory data (PBE) for a relaxed Ti3FeAs2 crystal.

POSCAR file:
```
Ti3FeAs2
1.0
10.163 0.000 0.000
0.000 3.701 0.000
0.000 0.000 9.986
Ti Fe As
12 4 8
Direct
0.053 0.250 0.119 Ti
0.120 0.750 0.552 Ti
0.232 0.250 0.797 Ti
0.268 0.750 0.297 Ti
0.380 0.250 0.052 Ti
0.447 0.750 0.619 Ti
0.553 0.250 0.381 Ti
0.620 0.750 0.948 Ti
0.732 0.250 0.703 Ti
0.768 0.750 0.203 Ti
0.880 0.250 0.448 Ti
0.947 0.750 0.881 Ti
0.128 0.250 0.362 Fe
0.372 0.750 0.862 Fe
0.628 0.250 0.138 Fe
0.872 0.750 0.638 Fe
0.001 0.750 0.303 As
0.184 0.750 0.999 As
0.316 0.250 0.499 As
0.499 0.250 0.803 As
0.501 0.750 0.197 As
0.684 0.750 0.501 As
0.816 0.250 0.001 As
0.999 0.250 0.697 As
```

Values from the calculation:
SG = Pnma
E = -7.59 eV/atom
formation energy from the elements = -4.08 eV/f.u.
ρ = 6176 kg/m³